(1)
## Tl3HgMo (PBEsol)

Data for Tl3HgMo after structural relaxation.

```
5
Lattice="5.324 0.000 0.000 0.000 5.324 0.000 0.000 0.000 5.324" Properties=species:S:1:pos:R:3 pbc="T T T"
Tl 0.000 0.000 2.662
Tl 0.000 2.662 0.000
Tl 2.662 0.000 0.000
Hg 2.662 2.662 2.662
Mo 0.000 0.000 0.000
```

Computed properties:
- Crystal system: cubic

***

(2)
## TlHgMo2 (PBEsol)

Data for TlHgMo2 after structural relaxation.

```
4
Lattice="-1.671 2.299 4.685 1.671 -2.299 4.685 1.671 2.299 -4.685" Properties=species:S:1:pos:R:3 pbc="T T T"
Tl 0.000 0.000 0.000
Hg 0.000 0.000 4.685
Mo 1.671 0.000 2.335
Mo 0.000 2.299 2.350
```

Computed properties:
- Crystal system: orthorhombic

***

For the records above, the corresponding polymorph energy (0 for the lowest one) values read 0.000; 0.042 eV/atom.
For the records above, the corresponding calculated formation energy values read 0.64; 0.72 eV/atom.